Density functional theory data (PBE) for a relaxed Th6Ge2As3S crystal.

Geometry as CIF:
```
data_Th6Ge2As3S
_chemical_formula_sum 'Th12 Ge4 As6 S2'
_cell_length_a 18.506
_cell_length_b 4.246
_cell_length_c 8.471
_cell_angle_alpha 90.00
_cell_angle_beta 103.53
_cell_angle_gamma 90.00
_space_group_name_H-M_alt 'C 1 2/m 1'
_space_group_IT_number 12
_space_group_name_Hall '-C 2y'
loop_
_atom_site_label
_atom_site_type_symbol
_atom_site_fract_x
_atom_site_fract_y
_atom_site_fract_z
Th1 Th 0.000 0.000 0.244
Th2 Th 0.165 0.500 0.083
Th3 Th 0.168 0.500 0.582
Ge1 Ge 0.165 0.000 0.331
As1 As 0.000 0.500 0.500
As2 As 0.168 0.000 0.833
S1 S 0.000 0.500 0.000
```

**Fermi-level density of states**: 13.13 states/eV/cell
**Total energy**: -87.06 eV per formula unit


Density functional theory data (PBE) for a relaxed Th4Ge2AsS crystal.

Geometry as CIF:
```
data_Th4Ge2AsS
_chemical_formula_sum 'Th4 Ge2 As1 S1'
_cell_length_a 7.286
_cell_length_b 4.253
_cell_length_c 7.371
_cell_angle_alpha 90.00
_cell_angle_beta 109.64
_cell_angle_gamma 90.00
_space_group_name_H-M_alt 'P 1 2/m 1'
_space_group_IT_number 10
_space_group_name_Hall '-P 2y'
loop_
_atom_site_label
_atom_site_type_symbol
_atom_site_fract_x
_atom_site_fract_y
_atom_site_fract_z
Th1 Th 0.249 0.000 0.247
Th2 Th 0.250 0.500 0.753
Ge1 Ge 0.500 0.000 0.000
Ge2 Ge 0.500 0.500 0.500
As1 As 0.000 0.000 0.500
S1 S 0.000 0.500 0.000
```

**Fermi-level density of states**: 4.39 states/eV/cell
**Total energy**: -57.33 eV per formula unit


Density functional theory data (PBE) for a relaxed Tm6GeAs2S3 crystal.

Geometry as CIF:
```
data_Tm6GeAs2S3
_chemical_formula_sum 'Tm12 Ge2 As4 S6'
_cell_length_a 17.281
_cell_length_b 3.986
_cell_length_c 7.916
_cell_angle_alpha 90.00
_cell_angle_beta 102.72
_cell_angle_gamma 90.00
_space_group_name_H-M_alt 'C 1 2/m 1'
_space_group_IT_number 12
_space_group_name_Hall '-C 2y'
loop_
_atom_site_label
_atom_site_type_symbol
_atom_site_fract_x
_atom_site_fract_y
_atom_site_fract_z
Tm1 Tm 0.001 0.000 0.253
Tm2 Tm 0.165 0.500 0.581
Tm3 Tm 0.166 0.500 0.084
Ge1 Ge 0.000 0.500 0.500
As1 As 0.167 0.000 0.834
S1 S 0.000 0.500 0.000
S2 S 0.168 0.000 0.333
```

**Fermi-level density of states**: 6.44 states/eV/cell
**Total energy**: -72.91 eV per formula unit


Density functional theory data (PBE) for a relaxed Tm6Ge2As3S crystal.

Geometry as CIF:
```
data_Tm6Ge2As3S
_chemical_formula_sum 'Tm12 Ge4 As6 S2'
_cell_length_a 17.668
_cell_length_b 3.989
_cell_length_c 8.172
_cell_angle_alpha 90.00
_cell_angle_beta 103.25
_cell_angle_gamma 90.00
_space_group_name_H-M_alt 'C 1 2/m 1'
_space_group_IT_number 12
_space_group_name_Hall '-C 2y'
loop_
_atom_site_label
_atom_site_type_symbol
_atom_site_fract_x
_atom_site_fract_y
_atom_site_fract_z
Tm1 Tm 0.001 0.000 0.250
Tm2 Tm 0.165 0.500 0.081
Tm3 Tm 0.166 0.500 0.586
Ge1 Ge 0.166 0.000 0.331
As1 As 0.000 0.500 0.500
As2 As 0.165 0.000 0.835
S1 S 0.000 0.500 0.000
```

**Fermi-level density of states**: 6.15 states/eV/cell
**Total energy**: -70.13 eV per formula unit


Density functional theory data (PBE) for a relaxed Tm8GeAs4S3 crystal.

Geometry as CIF:
```
data_Tm8GeAs4S3
_chemical_formula_sum 'Tm24 Ge3 As12 S9'
_cell_length_a 7.9941
_cell_length_b 7.9941
_cell_length_c 19.5283
_cell_angle_alpha 90.00
_cell_angle_beta 90.00
_cell_angle_gamma 120.00
_space_group_name_H-M_alt 'R -3 m'
_space_group_IT_number 166
_space_group_name_Hall '-R 3 2"'
loop_
_atom_site_label
_atom_site_type_symbol
_atom_site_fract_x
_atom_site_fract_y
_atom_site_fract_z
Tm1 Tm 0.0000 0.0000 0.2494
Tm2 Tm 0.0018 0.5009 0.7492
Ge1 Ge 0.0000 0.0000 0.0000
As1 As 0.0000 0.0000 0.5000
As2 As 0.0000 0.5000 0.5000
S1 S 0.0000 0.5000 0.0000
```

**Fermi-level density of states**: 6.19 states/eV/cell
**Total energy**: -97.40 eV per formula unit


Density functional theory data (PBE) for a relaxed Tm4GeAs2S crystal.

Geometry as CIF:
```
data_Tm4GeAs2S
_chemical_formula_sum 'Tm4 Ge1 As2 S1'
_cell_length_a 6.981
_cell_length_b 4.012
_cell_length_c 6.982
_cell_angle_alpha 90.00
_cell_angle_beta 109.33
_cell_angle_gamma 90.00
_space_group_name_H-M_alt 'P 1 2/m 1'
_space_group_IT_number 10
_space_group_name_Hall '-P 2y'
loop_
_atom_site_label
_atom_site_type_symbol
_atom_site_fract_x
_atom_site_fract_y
_atom_site_fract_z
Tm1 Tm 0.248 0.000 0.250
Tm2 Tm 0.250 0.500 0.753
Ge1 Ge 0.000 0.500 0.000
As1 As 0.500 0.000 0.000
As2 As 0.500 0.500 0.500
S1 S 0.000 0.000 0.500
```

**Fermi-level density of states**: 1.41 states/eV/cell
**Total energy**: -47.66 eV per formula unit


Density functional theory data (PBE) for a relaxed Tm8Ge3AsS4 crystal.

Geometry as CIF:
```
data_Tm8Ge3AsS4
_chemical_formula_sum 'Tm24 Ge9 As3 S12'
_cell_length_a 7.9925
_cell_length_b 7.9925
_cell_length_c 19.4431
_cell_angle_alpha 90.00
_cell_angle_beta 90.00
_cell_angle_gamma 120.00
_space_group_name_H-M_alt 'R -3 m'
_space_group_IT_number 166
_space_group_name_Hall '-R 3 2"'
loop_
_atom_site_label
_atom_site_type_symbol
_atom_site_fract_x
_atom_site_fract_y
_atom_site_fract_z
Tm1 Tm 0.0000 0.0000 0.2493
Tm2 Tm 0.0025 0.5013 0.7511
Ge1 Ge 0.0000 0.5000 0.5000
As1 As 0.0000 0.0000 0.5000
S1 S 0.0000 0.0000 0.0000
S2 S 0.0000 0.5000 0.0000
```

**Fermi-level density of states**: 12.57 states/eV/cell
**Total energy**: -94.99 eV per formula unit


Density functional theory data (PBE) for a relaxed Tm4GeAsS2 crystal.

Geometry as CIF:
```
data_Tm4GeAsS2
_chemical_formula_sum 'Tm4 Ge1 As1 S2'
_cell_length_a 6.857
_cell_length_b 3.987
_cell_length_c 6.912
_cell_angle_alpha 90.00
_cell_angle_beta 109.56
_cell_angle_gamma 90.00
_space_group_name_H-M_alt 'P 1 2/m 1'
_space_group_IT_number 10
_space_group_name_Hall '-P 2y'
loop_
_atom_site_label
_atom_site_type_symbol
_atom_site_fract_x
_atom_site_fract_y
_atom_site_fract_z
Tm1 Tm 0.248 0.000 0.247
Tm2 Tm 0.248 0.500 0.753
Ge1 Ge 0.000 0.500 0.000
As1 As 0.000 0.000 0.500
S1 S 0.500 0.000 0.000
S2 S 0.500 0.500 0.500
```

**Fermi-level density of states**: 1.35 states/eV/cell
**Total energy**: -48.22 eV per formula unit


For each record above, in turn, the calculated formation energy (no corrections) values are -1.27 -1.20 -1.65 -1.33 -1.63 -1.47 -1.51 -1.60 eV/atom.
For each record above, in turn, the calculated total moment values are 0.000 0.000 0.000 0.000 0.000 0.000 0.000 0.000 μB/atom.